# Y2HgWO8

A relaxed structure of Y2HgWO8 (PBE with a Hubbard U, Alexandria via LeMat-Bulk).

Crystal system: triclinic
VASP energy, eV for the cell shown: -85.06
ρ, g cm⁻³: 6.56

a = 5.005 Å, b = 5.007 Å, c = 7.014 Å
α = 86.42°, β = 86.40°, γ = 86.14°
Fractional positions:
Y: 0.017 0.017 0.254
Y: 0.983 0.983 0.746
Hg: 0.500 0.500 0.000
W: 0.500 0.500 0.500
O: 0.200 0.801 0.000
O: 0.217 0.785 0.500
O: 0.287 0.289 0.673
O: 0.344 0.345 0.270
O: 0.656 0.655 0.730
O: 0.713 0.711 0.327
O: 0.783 0.215 0.500
O: 0.800 0.199 0.000